# Hf2RuW PBE optimized geometry
# DOS(E_F) = 18.6 states/eV/cell
# E_tot = -10.106 eV/atom
data_Hf2RuW
_space_group_name_H-M_alt 'I -4 2 d'
_space_group_IT_number 122
_space_group_name_Hall 'I -4 2bw'
_cell_length_a 7.3402
_cell_length_b 7.3402
_cell_length_c 5.6736
_cell_angle_alpha 90.00
_cell_angle_beta 90.00
_cell_angle_gamma 90.00
loop_
_atom_site_label
_atom_site_fract_x
_atom_site_fract_y
_atom_site_fract_z
Hf1 0.2265 0.2500 0.1250
Ru1 0.0000 0.0000 0.0000
W1 0.0000 0.0000 0.5000